Entry 1:
First-principles (PBE) data for BeZnBr2 after structural relaxation, as listed in Alexandria via LeMat-Bulk.

Values from the calculation:
space-group type	R-3m (166)
energy above the most stable polymorph in this dataset	27	meV per atom
D(E_F)	0.000	states/eV per cell
crystal system	trigonal
raw total energy	-2.4163	eV/atom

Cell: 11.293 11.293 11.293 Å, 17.69 17.69 17.69°
Fractional coordinates of all 4 atoms:
Zn1 0.000 0.000 0.000
Br1 0.125 0.125 0.125
Br2 0.875 0.875 0.875
Be1 0.500 0.500 0.500

---

Entry 2:
First-principles (PBE) data for Ce4Sn2B after structural relaxation, as listed in Alexandria via LeMat-Bulk.

Values from the calculation:
formation enthalpy at 0 K	-0.3537	eV/atom
space-group type	I4/mmm (139)
D(E_F)	17.324	states/eV per cell
crystal system	tetragonal
raw total energy	-5.8421	eV/atom

Cell: 4.969 4.969 8.909 Å, 106.19 106.19 90.00°
Fractional coordinates of all 7 atoms:
Ce1 0.165 0.165 0.329
Ce2 0.000 0.500 0.000
Ce3 0.500 0.000 0.000
Ce4 0.835 0.835 0.671
B1 0.000 0.000 0.000
Sn1 0.637 0.637 0.274
Sn2 0.363 0.363 0.726

---

Entry 3:
First-principles (PBE) data for NpURu6 after structural relaxation, as listed in Alexandria via LeMat-Bulk.

Values from the calculation:
formation enthalpy at 0 K	-0.2056	eV/atom
space-group type	P4/mmm (123)
D(E_F)	11.664	states/eV per cell
crystal system	tetragonal
raw total energy	-10.1911	eV/atom

Cell: 3.977 5.647 5.647 Å, 90.00 90.00 90.00°
Fractional coordinates of all 8 atoms:
Ru1 0.500 0.000 0.500
Ru2 0.000 0.253 0.747
Ru3 0.000 0.748 0.748
Ru4 0.000 0.252 0.252
Ru5 0.500 0.500 0.000
Ru6 0.000 0.747 0.253
Np1 0.500 0.500 0.500
U1 0.500 0.000 0.000

---

Sequential total magnetic moment output: 0.000, 0.366, 0.083 μB/atom